This record from the Alexandria database describes a relaxed structure of CsPdNF2. The functional is PBE.

Cell: 5.244 5.244 4.919 Å, 90.00 90.00 90.00°
Space group P4/mmm (No. 123)
One atom of each set of equivalent atoms:
Cs1 0.000 0.000 0.000 x1
Pd1 0.500 0.500 0.500 x1
N1 0.000 0.000 0.500 x1
F1 0.000 0.500 0.000 x2

Calculated values
**D(E_F)**: 12.5 states/eV/cell
**ΔE_f (raw)**: 0.661 eV per atom
**Excess energy over the best structure of this formula in the dataset**: 146.20 kJ/mol of atoms

---

This record from the Alexandria database describes a relaxed structure of CsPdNF2. The functional is PBE.

Cell: 4.872 4.872 3.702 Å, 90.00 90.00 90.00°
Space group P4/mmm (No. 123)
One atom of each set of equivalent atoms:
Cs1 0.000 0.000 0.000 x1
Pd1 0.500 0.500 0.500 x1
N1 0.500 0.500 0.000 x1
F1 0.000 0.500 0.500 x2

Calculated values
**D(E_F)**: 1.6 states/eV/cell
**ΔE_f (raw)**: -0.854 eV per atom
**Excess energy over the best structure of this formula in the dataset**: 0.00 kJ/mol of atoms

---

This record from the Alexandria database describes a relaxed structure of Cs2PtNF. The functional is PBE.

Cell: 6.296 6.296 3.735 Å, 90.00 90.00 90.00°
Space group P4/mmm (No. 123)
One atom of each set of equivalent atoms:
Cs1 0.000 0.500 0.000 x2
Pt1 0.000 0.000 0.500 x1
N1 0.000 0.000 0.000 x1
F1 0.500 0.500 0.500 x1

Calculated values
**D(E_F)**: 2.5 states/eV/cell
**ΔE_f (raw)**: -0.931 eV per atom

---

This record from the Alexandria database describes a relaxed structure of CsRbN2F8. The functional is PBE.

Cell: 12.359 5.095 7.087 Å, 90.00 100.46 90.00°
Space group C2/m (No. 12)
One atom of each set of equivalent atoms:
Cs1 0.000 0.000 0.000 x2
Rb1 0.000 0.500 0.500 x2
N1 0.248 0.000 0.688 x4
F1 0.093 0.500 0.181 x4
F2 0.119 0.000 0.538 x4
F3 0.224 0.213 0.798 x8

Calculated values
**D(E_F)**: 0.0 states/eV/cell
**ΔE_f (raw)**: -1.114 eV per atom

---

This record from the Alexandria database describes a relaxed structure of CsRb2NF6. The functional is PBE.

Cell: 9.159 9.159 9.159 Å, 90.00 90.00 90.00°
Space group Fm-3m (No. 225)
One atom of each set of equivalent atoms:
Cs1 0.000 0.000 0.000 x4
Rb1 0.250 0.250 0.250 x8
N1 0.000 0.000 0.500 x4
F1 0.000 0.000 0.299 x24

Calculated values
**D(E_F)**: 0.0 states/eV/cell
**ΔE_f (raw)**: -1.529 eV per atom

---

This record from the Alexandria database describes a relaxed structure of CsReNF2. The functional is PBE.

Cell: 5.202 5.202 4.764 Å, 90.00 90.00 90.00°
Space group P4/mmm (No. 123)
One atom of each set of equivalent atoms:
Cs1 0.000 0.000 0.000 x1
Re1 0.500 0.500 0.500 x1
N1 0.000 0.000 0.500 x1
F1 0.000 0.500 0.000 x2

Calculated values
**D(E_F)**: 1.8 states/eV/cell
**ΔE_f (raw)**: 1.308 eV per atom
**Excess energy over the best structure of this formula in the dataset**: 222.99 kJ/mol of atoms

---

This record from the Alexandria database describes a relaxed structure of CsReNF2. The functional is PBE.

Cell: 4.568 4.568 3.842 Å, 90.00 90.00 90.00°
Space group P4/mmm (No. 123)
One atom of each set of equivalent atoms:
Cs1 0.000 0.000 0.000 x1
Re1 0.500 0.500 0.500 x1
N1 0.500 0.500 0.000 x1
F1 0.000 0.500 0.500 x2

Calculated values
**D(E_F)**: 3.3 states/eV/cell
**ΔE_f (raw)**: -1.004 eV per atom
**Excess energy over the best structure of this formula in the dataset**: 0.00 kJ/mol of atoms

---

This record from the Alexandria database describes a relaxed structure of CsRhNF2. The functional is PBE.

Cell: 5.235 5.235 4.772 Å, 90.00 90.00 90.00°
Space group P4/mmm (No. 123)
One atom of each set of equivalent atoms:
Cs1 0.000 0.000 0.000 x1
Rh1 0.500 0.500 0.500 x1
N1 0.000 0.000 0.500 x1
F1 0.000 0.500 0.000 x2

Calculated values
**D(E_F)**: 6.5 states/eV/cell
**ΔE_f (raw)**: 0.921 eV per atom
**Excess energy over the best structure of this formula in the dataset**: 187.29 kJ/mol of atoms

---

Number 1: magnetic moment 3.0 μB per formula unit. Number 2: magnetic moment 0.0 μB per formula unit. Number 3: magnetic moment 0.3 μB per formula unit. Number 4: magnetic moment 0.1 μB per formula unit. Number 5: magnetic moment 0.0 μB per formula unit. Number 6: magnetic moment 4.0 μB per formula unit. Number 7: magnetic moment 0.8 μB per formula unit. Number 8: magnetic moment 4.0 μB per formula unit.